(1)
A plane-wave DFT calculation with PBE-GGA was carried out for a relaxed Pr2Dy3Er2 crystal. Values from VASP.

Cell and atoms, written as Quantum ESPRESSO input:
```
&SYSTEM
  ibrav = 0, nat = 7, ntyp = 3
/
ATOMIC_SPECIES
Pr 140.91 Pr.upf
Er 167.26 Er.upf
Dy 162.50 Dy.upf
ATOMIC_POSITIONS crystal
Pr 0.433 0.086 0.866
Pr 0.567 0.914 0.134
Er 0.849 0.663 0.698
Er 0.151 0.337 0.302
Dy 0.000 0.500 0.000
Dy 0.789 0.203 0.577
Dy 0.211 0.797 0.423
CELL_PARAMETERS angstrom
3.515 0.000 0.000
0.000 8.532 -0.725
-1.758 -3.641 8.028
```

## Properties
The energy relative to the lowest polymorph listed for this composition comes out at 0 meV/atom. The calculation puts the density at 7.9 g/cm³. The total moment is 0.0 μB/cell. For the formation enthalpy at 0 K, the calculation gives 0.9 eV/f.u.

(2)
A plane-wave DFT calculation with PBE-GGA was carried out for a relaxed Pr3Dy8Er2 crystal. Values from VASP.

Cell and atoms, written as Quantum ESPRESSO input:
```
&SYSTEM
  ibrav = 0, nat = 13, ntyp = 3
/
ATOMIC_SPECIES
Dy 162.50 Dy.upf
Pr 140.91 Pr.upf
Er 167.26 Er.upf
ATOMIC_POSITIONS crystal
Dy 0.001 0.864 0.727
Dy 0.999 0.136 0.273
Dy 0.500 0.182 0.780
Dy 0.999 0.327 0.654
Dy 0.500 0.599 0.780
Dy 0.500 0.818 0.220
Dy 0.500 0.401 0.220
Dy 0.001 0.673 0.346
Pr 0.000 0.293 0.000
Pr 0.000 0.707 0.000
Pr 0.500 0.000 0.000
Er 0.501 0.759 0.518
Er 0.499 0.241 0.482
CELL_PARAMETERS angstrom
-2.644 0.402 4.993
-5.898 -4.166 -2.788
7.451 -6.334 4.445
```

## Properties
The energy relative to the lowest polymorph listed for this composition comes out at 124 meV/atom. The calculation puts the density at 7.8 g/cm³. The total moment is 0.0 μB/cell. For the formation enthalpy at 0 K, the calculation gives 3.2 eV/f.u.

(3)
A plane-wave DFT calculation with PBE-GGA was carried out for a relaxed PrDy5Er2 crystal. Values from VASP.

Cell and atoms, written as Quantum ESPRESSO input:
```
&SYSTEM
  ibrav = 0, nat = 16, ntyp = 3
/
ATOMIC_SPECIES
Dy 162.50 Dy.upf
Er 167.26 Er.upf
Pr 140.91 Pr.upf
ATOMIC_POSITIONS crystal
Dy 0.000 0.500 0.500
Dy 0.000 0.502 0.251
Dy 0.500 0.748 0.626
Dy 0.500 0.248 0.874
Dy 0.000 0.498 0.749
Dy 0.500 0.252 0.374
Dy 0.000 0.002 0.249
Dy 0.000 0.000 0.000
Dy 0.000 0.998 0.751
Dy 0.500 0.752 0.126
Er 0.500 0.250 0.626
Er 0.500 0.750 0.874
Er 0.500 0.250 0.126
Er 0.500 0.750 0.374
Pr 0.000 0.500 0.000
Pr 0.000 0.000 0.500
CELL_PARAMETERS angstrom
5.013 0.000 0.000
0.000 7.115 0.000
0.000 0.000 14.233
```

## Properties
The energy relative to the lowest polymorph listed for this composition comes out at 0 meV/atom. The calculation puts the density at 8.4 g/cm³. The total moment is 0.0 μB/cell. For the formation enthalpy at 0 K, the calculation gives 0.2 eV/f.u.

(4)
A plane-wave DFT calculation with PBE-GGA was carried out for a relaxed Pr2Dy2Er3 crystal. Values from VASP.

Cell and atoms, written as Quantum ESPRESSO input:
```
&SYSTEM
  ibrav = 0, nat = 14, ntyp = 3
/
ATOMIC_SPECIES
Er 167.26 Er.upf
Pr 140.91 Pr.upf
Dy 162.50 Dy.upf
ATOMIC_POSITIONS crystal
Er 0.750 0.554 0.304
Er 0.804 0.250 0.554
Er 0.054 0.304 0.250
Er 0.250 0.946 0.196
Er 0.446 0.196 0.750
Er 0.696 0.750 0.946
Pr 0.000 0.000 0.814
Pr 0.314 0.500 0.000
Pr 0.186 0.686 0.686
Pr 0.500 0.814 0.500
Dy 0.916 0.500 0.000
Dy 0.500 0.416 0.500
Dy 0.584 0.084 0.084
Dy 0.000 0.000 0.416
CELL_PARAMETERS angstrom
7.960 0.000 -2.814
-3.980 6.893 -2.814
0.000 0.000 8.443
```

## Properties
The energy relative to the lowest polymorph listed for this composition comes out at 197 meV/atom. The calculation puts the density at 7.9 g/cm³. The total moment is 0.0 μB/cell. For the formation enthalpy at 0 K, the calculation gives 1.5 eV/f.u.

(5)
A plane-wave DFT calculation with PBE-GGA was carried out for a relaxed PrDyEr crystal. Values from VASP.

Cell and atoms, written as Quantum ESPRESSO input:
```
&SYSTEM
  ibrav = 0, nat = 6, ntyp = 3
/
ATOMIC_SPECIES
Dy 162.50 Dy.upf
Pr 140.91 Pr.upf
Er 167.26 Er.upf
ATOMIC_POSITIONS crystal
Dy 0.937 0.926 0.685
Dy 0.438 0.926 0.849
Pr 0.438 0.926 0.517
Pr 0.938 0.926 0.017
Er 0.938 0.926 0.348
Er 0.438 0.926 0.185
CELL_PARAMETERS angstrom
6.165 -0.719 -0.067
-0.647 3.596 -5.014
-0.027 -1.172 10.689
```

## Properties
The energy relative to the lowest polymorph listed for this composition comes out at 0 meV/atom. The calculation puts the density at 8.0 g/cm³. The total moment is 0.0 μB/cell. For the formation enthalpy at 0 K, the calculation gives 0.1 eV/f.u.

(6)
A plane-wave DFT calculation with PBE-GGA was carried out for a relaxed Pr12Dy6Er crystal. Values from VASP.

Cell and atoms, written as Quantum ESPRESSO input:
```
&SYSTEM
  ibrav = 0, nat = 19, ntyp = 3
/
ATOMIC_SPECIES
Dy 162.50 Dy.upf
Er 167.26 Er.upf
Pr 140.91 Pr.upf
ATOMIC_POSITIONS crystal
Dy 0.295 0.741 0.901
Dy 0.099 0.705 0.259
Dy 0.901 0.295 0.741
Dy 0.705 0.259 0.099
Dy 0.741 0.901 0.295
Dy 0.259 0.099 0.705
Er 0.000 0.000 0.000
Pr 0.808 0.637 0.982
Pr 0.536 0.433 0.782
Pr 0.018 0.192 0.363
Pr 0.782 0.536 0.433
Pr 0.192 0.363 0.018
Pr 0.363 0.018 0.192
Pr 0.567 0.218 0.464
Pr 0.464 0.567 0.218
Pr 0.637 0.982 0.808
Pr 0.218 0.464 0.567
Pr 0.982 0.808 0.637
Pr 0.433 0.782 0.536
CELL_PARAMETERS angstrom
8.670 0.702 0.841
-0.620 8.676 0.841
-0.620 -0.723 8.687
```

## Properties
The energy relative to the lowest polymorph listed for this composition comes out at 0 meV/atom. The calculation puts the density at 7.1 g/cm³. The total moment is 0.0 μB/cell. For the formation enthalpy at 0 K, the calculation gives 2.4 eV/f.u.

(7)
A plane-wave DFT calculation with PBE-GGA was carried out for a relaxed PrDy8Er4 crystal. Values from VASP.

Cell and atoms, written as Quantum ESPRESSO input:
```
&SYSTEM
  ibrav = 0, nat = 13, ntyp = 3
/
ATOMIC_SPECIES
Dy 162.50 Dy.upf
Er 167.26 Er.upf
Pr 140.91 Pr.upf
ATOMIC_POSITIONS crystal
Dy 0.498 0.249 0.302
Dy 0.947 0.196 0.698
Dy 0.564 0.782 0.345
Dy 0.053 0.249 0.302
Dy 0.502 0.751 0.698
Dy 0.436 0.218 0.655
Dy 0.947 0.751 0.698
Dy 0.053 0.804 0.302
Er 0.500 0.000 0.000
Er 0.000 0.500 0.000
Er 0.500 0.500 0.000
Er 0.000 0.000 0.000
Pr 0.000 0.500 0.500
CELL_PARAMETERS angstrom
6.398 0.000 -3.452
-4.130 5.983 0.000
1.190 0.822 9.861
```

## Properties
The calculation puts the density at 8.5 g/cm³. The total moment is 0.0 μB/cell. For the formation enthalpy at 0 K, the calculation gives 2.6 eV/f.u.

(8)
A plane-wave DFT calculation with PBE-GGA was carried out for a relaxed Pr7Dy4Er crystal. Values from VASP.

Cell and atoms, written as Quantum ESPRESSO input:
```
&SYSTEM
  ibrav = 0, nat = 12, ntyp = 3
/
ATOMIC_SPECIES
Pr 140.91 Pr.upf
Er 167.26 Er.upf
Dy 162.50 Dy.upf
ATOMIC_POSITIONS crystal
Pr 0.335 0.779 0.665
Pr 0.665 0.221 0.335
Pr 0.918 0.720 0.334
Pr 0.746 0.501 0.002
Pr 0.082 0.280 0.666
Pr 0.500 0.000 0.000
Pr 0.254 0.499 0.998
Er 0.000 0.000 0.000
Dy 0.584 0.277 0.668
Dy 0.835 0.780 0.664
Dy 0.416 0.723 0.332
Dy 0.165 0.220 0.336
CELL_PARAMETERS angstrom
6.527 -1.835 2.789
0.692 5.908 2.262
2.857 -2.293 11.053
```

## Properties
The energy relative to the lowest polymorph listed for this composition comes out at 0 meV/atom. The calculation puts the density at 7.3 g/cm³. The total moment is 0.0 μB/cell. For the formation enthalpy at 0 K, the calculation gives 0.1 eV/f.u.

(9)
A plane-wave DFT calculation with PBE-GGA was carried out for a relaxed Pr3Dy2Er7 crystal. Values from VASP.

Cell and atoms, written as Quantum ESPRESSO input:
```
&SYSTEM
  ibrav = 0, nat = 12, ntyp = 3
/
ATOMIC_SPECIES
Er 167.26 Er.upf
Pr 140.91 Pr.upf
Dy 162.50 Dy.upf
ATOMIC_POSITIONS crystal
Er 0.000 0.692 0.143
Er 0.500 0.743 0.462
Er 0.000 0.000 0.000
Er 0.500 0.806 0.826
Er 0.000 0.308 0.857
Er 0.500 0.194 0.174
Er 0.500 0.257 0.538
Pr 0.500 0.500 0.000
Pr 0.000 0.777 0.633
Pr 0.000 0.223 0.367
Dy 0.500 0.289 0.709
Dy 0.500 0.711 0.291
CELL_PARAMETERS angstrom
-3.512 0.061 -0.617
0.244 -5.478 -1.933
-3.203 -5.337 17.721
```

## Properties
The energy relative to the lowest polymorph listed for this composition comes out at 0 meV/atom. The calculation puts the density at 8.2 g/cm³. The total moment is 0.0 μB/cell. For the formation enthalpy at 0 K, the calculation gives 1.1 eV/f.u.